The following is a GGA+U calculation of a relaxed LiAs2WO8 crystal, from the Alexandria database.

Calculated values
Calculated volume in Å³ per atom: 11.638
Density of states at the Fermi level in states/eV per atom: 0.18
Energy in eV for the cell shown: -74.14

Unit cell a=5.670 b=5.670 c=5.670 alpha=107.23 beta=107.23 gamma=114.05
Fractional positions:
Li: 0.000 0.000 0.000
As: 0.500 0.500 0.000
As: 0.750 0.250 0.500
W: 0.250 0.750 0.500
O: 0.317 0.106 0.789
O: 0.317 0.529 0.211
O: 0.370 0.053 0.317
O: 0.471 0.683 0.789
O: 0.736 0.053 0.683
O: 0.894 0.683 0.211
O: 0.947 0.264 0.317
O: 0.947 0.630 0.683